Record 1
Here is LaYIn2 at its PBEsol-relaxed geometry from the Alexandria database. Energies are from SCAN.

Calculated values
Calculated total energy ... -140.14 eV/cell
Symmetry ... Imm2, No. 44

Cell lengths 4.147, 4.956, 6.236 Å; angles 113.41, 109.42, 90.00 degrees
Fractional positions:
In  0.030  0.030  0.061
In  0.726  0.226  0.452
La  0.489  0.489  0.977
Y  0.255  0.755  0.510

***

Record 2
Here is CoTcPt2 at its PBEsol-relaxed geometry from the Alexandria database. Energies are from SCAN.

Calculated values
Calculated total energy ... -193.27 eV/cell
Symmetry ... Cm, No. 8
Energy relative to the lowest polymorph listed for this composition ... 0.205 eV/f.u.

Cell lengths 2.671, 4.629, 4.659 Å; angles 99.68, 90.00, 106.77 degrees
Last column: magnetic moment on the atom in μB.
Fractional positions:
Pt  0.246  0.493  0.733  0.06
Pt  0.006  0.011  0.016  0.08
Co  0.754  0.508  0.254  1.82
Tc  0.494  0.988  0.498  -0.12

***

Record 3
Here is RbSeIBr2 at its PBEsol-relaxed geometry from the Alexandria database. Energies are from SCAN.

Calculated values
Calculated total energy ... -118.85 eV/cell
Symmetry ... P4/mmm, No. 123
E_form (uncorrected) ... -0.47 eV per atom

Cell lengths 5.357, 5.845, 5.845 Å; angles 90.00, 90.00, 90.00 degrees
Fractional positions:
Br  0.000  0.500  0.000
Br  0.000  0.000  0.500
I  0.000  0.000  0.000
Se  0.500  0.000  0.000
Rb  0.500  0.500  0.500

***

> The lowest calculated total energy belongs to which entry?

CoTcPt2

***

> Which of these has the highest calculated total energy?

RbSeIBr2